Here is a relaxed structure of Li2MnFeB2O6 from Alexandria via LeMat-Bulk. Energies are from PBE+U.

Summary:
Relative energy among the computed polymorphs in meV per atom: 145
Density of states at the Fermi level in states/eV/atom: 0.000

The structure in extended XYZ format:
```
24
Lattice="-1.000 -1.522 -4.944 0.980 -8.565 2.556 -4.759 1.705 3.012" Properties=species:S:1:pos:R:3 pbc="T T T"
Mn -0.419 -6.499 2.545
Fe -4.357 -1.913 -1.977
O -3.475 -2.914 -0.383
O -3.141 -3.314 1.973
B -3.613 -2.519 0.950
O -1.613 -5.000 -1.364
Fe -1.403 -2.956 -1.150
Li -1.176 -8.674 0.539
B -3.616 -7.616 -0.238
Li -1.116 -3.549 1.720
O -1.629 -0.020 -0.147
O -2.569 -6.536 3.385
O -3.177 -8.424 0.790
B -1.175 -5.807 -0.333
B -1.158 -0.823 0.869
Mn -3.373 -5.398 1.827
O -0.607 -2.077 0.560
O -2.299 -1.963 -2.736
Li -3.612 -4.755 -1.107
O -1.222 -5.361 0.986
O -4.159 -1.261 1.251
O -4.069 -6.314 0.028
O -0.724 -7.110 -0.596
Li -3.653 0.217 0.099
```